1.
# La12Pm3Ag

Crystalline La12Pm3Ag at its relaxed geometry (PBE-GGA, the Alexandria database).

a b c (Å): 5.1789 5.1789 20.7989
angles (deg): 90.00 90.00 90.00
Last column: nearest neighbours and their distance in Å.
Positions (direct):
La (0.5000, 0.5000, 0.0000)  8 La 3.59, 4 Ag 3.66
La (0.5000, 0.5000, 0.2440)  4 Pm 3.66, 8 La 3.66-3.72
La (0.5000, 0.5000, 0.5000)  4 Pm 3.66, 8 La 3.71
La (0.5000, 0.5000, 0.7560)  4 Pm 3.66, 8 La 3.66-3.72
La (0.5000, 0.0000, 0.1195)  2 Ag 3.59, 8 La 3.59-3.66, 2 Pm 3.67
La (0.5000, 0.0000, 0.3724)  8 La 3.66-3.72, 4 Pm 3.71
La (0.5000, 0.0000, 0.6276)  8 La 3.66-3.72, 4 Pm 3.71
La (0.5000, 0.0000, 0.8805)  2 Ag 3.59, 8 La 3.59-3.66, 2 Pm 3.67
La (0.0000, 0.5000, 0.1195)  8 La 3.59-3.66, 2 Ag 3.59, 2 Pm 3.67
La (0.0000, 0.5000, 0.3724)  8 La 3.66-3.72, 4 Pm 3.71
La (0.0000, 0.5000, 0.6276)  8 La 3.66-3.72, 4 Pm 3.71
La (0.0000, 0.5000, 0.8805)  8 La 3.59-3.66, 2 Ag 3.59, 2 Pm 3.67
Pm (0.0000, 0.0000, 0.2444)  12 La 3.66-3.71
Pm (0.0000, 0.0000, 0.5000)  12 La 3.66-3.71
Pm (0.0000, 0.0000, 0.7556)  12 La 3.66-3.71
Ag (0.0000, 0.0000, 0.0000)  12 La 3.59-3.66

Summary:
Calculated formation energy   0.008 eV/atom
Space group   P4/mmm



2.
# LaPm4Ag

Crystalline LaPm4Ag at its relaxed geometry (PBE-GGA, the Alexandria database).

a b c (Å): 3.6984 3.6984 14.1502
angles (deg): 90.00 90.00 90.00
Last column: nearest neighbours and their distance in Å.
Positions (direct):
La (0.0000, 0.0000, 0.0000)  8 Pm 3.69, 4 La 3.70
Pm (0.5000, 0.5000, 0.1841)  8 Pm 3.67-3.70, 4 La 3.69
Pm (0.0000, 0.0000, 0.6337)  4 Ag 3.23
Pm (0.0000, 0.0000, 0.3663)  4 Ag 3.23
Pm (0.5000, 0.5000, 0.8159)  8 Pm 3.67-3.70, 4 La 3.69
Ag (0.5000, 0.5000, 0.5000)  8 Pm 3.23

Summary:
Calculated formation energy   -0.066 eV/atom
Energy above the lowest structure with this stoichiometry   0 kJ/mol of formula units
Space group   P4/mmm



The highest calculated formation energy belongs to which entry?
La12Pm3Ag



The lowest calculated formation energy belongs to which entry?
LaPm4Ag